a | Here is a relaxed structure of SrGa2Pb2 from Alexandria via LeMat-Bulk. Energies are from GGA-PBE.

## Properties
space group: P4/mbm, No. 127

abc: 8.411 8.411 3.925
angles: 90.00 90.00 90.00
Atoms (fractional coordinates):
1 Sr 0.000 0.000 0.000
2 Sr 0.500 0.500 0.000
3 Ga 0.116 0.384 0.000
4 Ga 0.384 0.884 0.000
5 Ga 0.616 0.116 0.000
6 Ga 0.884 0.616 0.000
7 Pb 0.173 0.673 0.500
8 Pb 0.327 0.173 0.500
9 Pb 0.673 0.827 0.500
10 Pb 0.827 0.327 0.500

b | Here is a relaxed structure of SrGa2Pb2 from Alexandria via LeMat-Bulk. Energies are from GGA-PBE.

## Properties
space group: P4/mbm, No. 127

abc: 8.740 8.740 3.736
angles: 90.00 90.00 90.00
Atoms (fractional coordinates):
1 Sr 0.000 0.000 0.000
2 Sr 0.500 0.500 0.000
3 Ga 0.160 0.340 0.500
4 Ga 0.340 0.840 0.500
5 Ga 0.660 0.160 0.500
6 Ga 0.840 0.660 0.500
7 Pb 0.132 0.632 0.000
8 Pb 0.368 0.132 0.000
9 Pb 0.632 0.868 0.000
10 Pb 0.868 0.368 0.000

The structure with the most favorable energy is a; the runner-up is 0.091 eV/atom above it.

a | Here is a relaxed structure of SrGa3Pb from Alexandria via LeMat-Bulk. Energies are from GGA-PBE.

## Properties
space group: Pm-3m, No. 221

abc: 5.545 5.545 5.545
angles: 90.00 90.00 90.00
Atoms (fractional coordinates):
1 Sr 0.000 0.000 0.000
2 Ga 0.000 0.500 0.500
3 Ga 0.500 0.000 0.500
4 Ga 0.500 0.500 0.000
5 Pb 0.500 0.500 0.500

b | Here is a relaxed structure of SrGa3Pb from Alexandria via LeMat-Bulk. Energies are from GGA-PBE.

## Properties
space group: Pm-3m, No. 221

abc: 5.719 5.719 5.719
angles: 90.00 90.00 90.00
Atoms (fractional coordinates):
1 Sr 0.000 0.000 0.000
2 Ga 0.000 0.000 0.500
3 Ga 0.000 0.500 0.000
4 Ga 0.500 0.000 0.000
5 Pb 0.500 0.500 0.500

The structure with the most favorable energy is a; the runner-up is 0.481 eV/atom above it.

a | Here is a relaxed structure of TaGaPb3 from Alexandria via LeMat-Bulk. Energies are from GGA-PBE.

## Properties
space group: Pm-3m, No. 221

abc: 5.528 5.528 5.528
angles: 90.00 90.00 90.00
Atoms (fractional coordinates):
1 Ta 0.000 0.000 0.000
2 Ga 0.500 0.500 0.500
3 Pb 0.000 0.000 0.500
4 Pb 0.000 0.500 0.000
5 Pb 0.500 0.000 0.000

b | Here is a relaxed structure of TaGaPb3 from Alexandria via LeMat-Bulk. Energies are from GGA-PBE.

## Properties
space group: Pm-3m, No. 221

abc: 5.327 5.327 5.327
angles: 90.00 90.00 90.00
Atoms (fractional coordinates):
1 Ta 0.000 0.000 0.000
2 Ga 0.500 0.500 0.500
3 Pb 0.000 0.500 0.500
4 Pb 0.500 0.000 0.500
5 Pb 0.500 0.500 0.000

The structure with the most favorable energy is a; the runner-up is 0.751 eV/atom above it.

a | Here is a relaxed structure of Ta3GaPb from Alexandria via LeMat-Bulk. Energies are from GGA-PBE.

## Properties
space group: Pm-3m, No. 221

abc: 4.792 4.792 4.792
angles: 90.00 90.00 90.00
Atoms (fractional coordinates):
1 Ta 0.000 0.000 0.500
2 Ta 0.000 0.500 0.000
3 Ta 0.500 0.000 0.000
4 Ga 0.000 0.000 0.000
5 Pb 0.500 0.500 0.500

b | Here is a relaxed structure of Ta3GaPb from Alexandria via LeMat-Bulk. Energies are from GGA-PBE.

## Properties
space group: Pm-3m, No. 221

abc: 5.121 5.121 5.121
angles: 90.00 90.00 90.00
Atoms (fractional coordinates):
1 Ta 0.000 0.000 0.500
2 Ta 0.000 0.500 0.000
3 Ta 0.500 0.000 0.000
4 Ga 0.500 0.500 0.500
5 Pb 0.000 0.000 0.000

The structure with the most favorable energy is a; the runner-up is 1.186 eV/atom above it.

a | Here is a relaxed structure of TbGaPb from Alexandria via LeMat-Bulk. Energies are from GGA-PBE.

## Properties
space group: P3m1, No. 156

abc: 4.483 4.483 4.471
angles: 90.00 90.00 120.00
Atoms (fractional coordinates):
1 Tb 0.000 0.000 0.000
2 Ga 0.667 0.333 0.310
3 Pb 0.333 0.667 0.571

b | Here is a relaxed structure of TbGaPb from Alexandria via LeMat-Bulk. Energies are from GGA-PBE.

## Properties
space group: I4mm, No. 107

abc: 3.665 3.665 11.367
angles: 90.00 90.00 90.00
Atoms (fractional coordinates):
1 Tb 0.000 0.000 0.000
2 Tb 0.500 0.500 0.500
3 Ga 0.000 0.000 0.344
4 Ga 0.500 0.500 0.844
5 Pb 0.000 0.000 0.700
6 Pb 0.500 0.500 0.200

c | Here is a relaxed structure of TbGaPb from Alexandria via LeMat-Bulk. Energies are from GGA-PBE.

## Properties
space group: P4_2/mmc, No. 131

abc: 5.274 5.274 6.721
angles: 90.00 90.00 90.00
Atoms (fractional coordinates):
1 Tb 0.000 0.000 0.250
2 Tb 0.000 0.000 0.750
3 Ga 0.000 0.500 0.000
4 Ga 0.500 0.000 0.500
5 Pb 0.500 0.500 0.000
6 Pb 0.500 0.500 0.500

The structure with the most favorable energy is a; the runner-up is 0.122 eV/atom above it.

a | Here is a relaxed structure of GaTcPb3 from Alexandria via LeMat-Bulk. Energies are from GGA-PBE.

## Properties
space group: Pm-3m, No. 221

abc: 5.415 5.415 5.415
angles: 90.00 90.00 90.00
Atoms (fractional coordinates):
1 Ga 0.000 0.000 0.000
2 Tc 0.500 0.500 0.500
3 Pb 0.000 0.000 0.500
4 Pb 0.000 0.500 0.000
5 Pb 0.500 0.000 0.000

b | Here is a relaxed structure of GaTcPb3 from Alexandria via LeMat-Bulk. Energies are from GGA-PBE.

## Properties
space group: Pm-3m, No. 221

abc: 5.339 5.339 5.339
angles: 90.00 90.00 90.00
Atoms (fractional coordinates):
1 Ga 0.000 0.000 0.000
2 Tc 0.500 0.500 0.500
3 Pb 0.000 0.500 0.500
4 Pb 0.500 0.000 0.500
5 Pb 0.500 0.500 0.000

The structure with the most favorable energy is b; the runner-up is 0.688 eV/atom above it.

a | Here is a relaxed structure of Ga2Tc2Pb from Alexandria via LeMat-Bulk. Energies are from GGA-PBE.

## Properties
space group: P4/mbm, No. 127

abc: 7.394 7.394 3.131
angles: 90.00 90.00 90.00
Atoms (fractional coordinates):
1 Ga 0.130 0.370 0.000
2 Ga 0.370 0.870 0.000
3 Ga 0.630 0.130 0.000
4 Ga 0.870 0.630 0.000
5 Tc 0.160 0.660 0.500
6 Tc 0.340 0.160 0.500
7 Tc 0.660 0.840 0.500
8 Tc 0.840 0.340 0.500
9 Pb 0.000 0.000 0.000
10 Pb 0.500 0.500 0.000

b | Here is a relaxed structure of Ga2Tc2Pb from Alexandria via LeMat-Bulk. Energies are from GGA-PBE.

## Properties
space group: P4/mbm, No. 127

abc: 7.143 7.143 3.362
angles: 90.00 90.00 90.00
Atoms (fractional coordinates):
1 Ga 0.143 0.357 0.000
2 Ga 0.357 0.857 0.000
3 Ga 0.643 0.143 0.000
4 Ga 0.857 0.643 0.000
5 Tc 0.149 0.649 0.500
6 Tc 0.351 0.149 0.500
7 Tc 0.649 0.851 0.500
8 Tc 0.851 0.351 0.500
9 Pb 0.000 0.000 0.500
10 Pb 0.500 0.500 0.500

The structure with the most favorable energy is b; the runner-up is 0.192 eV/atom above it.

a | Here is a relaxed structure of Ga2TePb2 from Alexandria via LeMat-Bulk. Energies are from GGA-PBE.

## Properties
space group: I4/mmm, No. 139

abc: 4.864 4.864 12.004
angles: 90.00 90.00 90.00
Atoms (fractional coordinates):
1 Ga 0.000 0.000 0.101
2 Ga 0.000 0.000 0.899
3 Ga 0.500 0.500 0.399
4 Ga 0.500 0.500 0.601
5 Te 0.000 0.000 0.500
6 Te 0.500 0.500 0.000
7 Pb 0.000 0.500 0.250
8 Pb 0.000 0.500 0.750
9 Pb 0.500 0.000 0.250
10 Pb 0.500 0.000 0.750

b | Here is a relaxed structure of Ga2TePb2 from Alexandria via LeMat-Bulk. Energies are from GGA-PBE.

## Properties
space group: I4/mmm, No. 139

abc: 3.960 3.960 17.619
angles: 90.00 90.00 90.00
Atoms (fractional coordinates):
1 Ga 0.000 0.500 0.250
2 Ga 0.000 0.500 0.750
3 Ga 0.500 0.000 0.250
4 Ga 0.500 0.000 0.750
5 Te 0.000 0.000 0.000
6 Te 0.500 0.500 0.500
7 Pb 0.000 0.000 0.394
8 Pb 0.000 0.000 0.606
9 Pb 0.500 0.500 0.106
10 Pb 0.500 0.500 0.894

c | Here is a relaxed structure of Ga2TePb2 from Alexandria via LeMat-Bulk. Energies are from GGA-PBE.

## Properties
space group: P4/mbm, No. 127

abc: 9.239 9.239 3.319
angles: 90.00 90.00 90.00
Atoms (fractional coordinates):
1 Ga 0.100 0.400 0.000
2 Ga 0.400 0.900 0.000
3 Ga 0.600 0.100 0.000
4 Ga 0.900 0.600 0.000
5 Te 0.000 0.000 0.500
6 Te 0.500 0.500 0.500
7 Pb 0.200 0.700 0.500
8 Pb 0.300 0.200 0.500
9 Pb 0.700 0.800 0.500
10 Pb 0.800 0.300 0.500

The structure with the most favorable energy is b; the runner-up is 0.046 eV/atom above it.

a | Here is a relaxed structure of GaTePb2 from Alexandria via LeMat-Bulk. Energies are from GGA-PBE.

## Properties
space group: Cm, No. 8

abc: 8.313 5.224 6.300
angles: 90.00 109.01 90.00
Atoms (fractional coordinates):
1 Ga 0.000 0.000 0.000
2 Ga 0.500 0.500 0.000
3 Te 0.172 0.000 0.480
4 Te 0.672 0.500 0.480
5 Pb 0.115 0.500 0.757
6 Pb 0.380 0.000 0.131
7 Pb 0.615 0.000 0.757
8 Pb 0.880 0.500 0.131

b | Here is a relaxed structure of GaTePb2 from Alexandria via LeMat-Bulk. Energies are from GGA-PBE.

## Properties
space group: Fm-3m, No. 225

abc: 7.716 7.716 7.716
angles: 90.00 90.00 90.00
Atoms (fractional coordinates):
1 Ga 0.000 0.000 0.000
2 Ga 0.000 0.500 0.500
3 Ga 0.500 0.000 0.500
4 Ga 0.500 0.500 0.000
5 Te 0.000 0.000 0.500
6 Te 0.000 0.500 0.000
7 Te 0.500 0.000 0.000
8 Te 0.500 0.500 0.500
9 Pb 0.250 0.250 0.250
10 Pb 0.250 0.250 0.750
11 Pb 0.250 0.750 0.250
12 Pb 0.250 0.750 0.750
13 Pb 0.750 0.250 0.250
14 Pb 0.750 0.250 0.750
15 Pb 0.750 0.750 0.250
16 Pb 0.750 0.750 0.750

The structure with the most favorable energy is a; the runner-up is 0.059 eV/atom above it.

a | Here is a relaxed structure of GaTePb2 from Alexandria via LeMat-Bulk. Energies are from GGA-PBE.

## Properties
space group: I-42d, No. 122

abc: 6.712 6.712 14.219
angles: 90.00 90.00 90.00
Atoms (fractional coordinates):
1 Ga 0.000 0.000 0.000
2 Ga 0.000 0.500 0.250
3 Ga 0.500 0.000 0.750
4 Ga 0.500 0.500 0.500
5 Te 0.000 0.000 0.500
6 Te 0.000 0.500 0.750
7 Te 0.500 0.000 0.250
8 Te 0.500 0.500 0.000
9 Pb 0.214 0.250 0.125
10 Pb 0.250 0.714 0.375
11 Pb 0.250 0.786 0.875
12 Pb 0.286 0.250 0.625
13 Pb 0.714 0.750 0.625
14 Pb 0.750 0.214 0.875
15 Pb 0.750 0.286 0.375
16 Pb 0.786 0.750 0.125

b | Here is a relaxed structure of GaTePb2 from Alexandria via LeMat-Bulk. Energies are from GGA-PBE.

## Properties
space group: P4/mmm, No. 123

abc: 5.334 5.334 4.089
angles: 90.00 90.00 90.00
Atoms (fractional coordinates):
1 Ga 0.000 0.000 0.000
2 Te 0.500 0.500 0.000
3 Pb 0.000 0.500 0.500
4 Pb 0.500 0.000 0.500

The structure with the most favorable energy is b; the runner-up is 0.133 eV/atom above it.

a | Here is a relaxed structure of GaTePb from Alexandria via LeMat-Bulk. Energies are from GGA-PBE.

## Properties
space group: C2/m, No. 12

abc: 17.897 5.116 4.103
angles: 90.00 102.36 90.00
Atoms (fractional coordinates):
1 Ga 0.234 0.000 0.478
2 Ga 0.266 0.500 0.522
3 Ga 0.734 0.500 0.478
4 Ga 0.766 0.000 0.522
5 Te 0.120 0.000 0.872
6 Te 0.380 0.500 0.128
7 Te 0.620 0.500 0.872
8 Te 0.880 0.000 0.128
9 Pb 0.081 0.500 0.290
10 Pb 0.419 0.000 0.710
11 Pb 0.581 0.000 0.290
12 Pb 0.919 0.500 0.710

b | Here is a relaxed structure of GaTePb from Alexandria via LeMat-Bulk. Energies are from GGA-PBE.

## Properties
space group: P3m1, No. 156

abc: 4.848 4.848 4.283
angles: 90.00 90.00 120.00
Atoms (fractional coordinates):
1 Ga 0.000 0.000 0.000
2 Te 0.667 0.333 0.275
3 Pb 0.333 0.667 0.666

The structure with the most favorable energy is a; the runner-up is 0.112 eV/atom above it.

a | Here is a relaxed structure of ThGaPb2 from Alexandria via LeMat-Bulk. Energies are from GGA-PBE.

## Properties
space group: R-3m, No. 166

abc: 3.507 3.507 33.755
angles: 90.00 90.00 120.00
Atoms (fractional coordinates):
1 Th 0.000 0.000 0.000
2 Th 0.333 0.667 0.667
3 Th 0.667 0.333 0.333
4 Ga 0.000 0.000 0.500
5 Ga 0.333 0.667 0.167
6 Ga 0.667 0.333 0.833
7 Pb 0.000 0.000 0.098
8 Pb 0.000 0.000 0.902
9 Pb 0.333 0.667 0.569
10 Pb 0.333 0.667 0.764
11 Pb 0.667 0.333 0.236
12 Pb 0.667 0.333 0.431

b | Here is a relaxed structure of ThGaPb2 from Alexandria via LeMat-Bulk. Energies are from GGA-PBE.

## Properties
space group: P4/mmm, No. 123

abc: 4.689 4.689 4.915
angles: 90.00 90.00 90.00
Atoms (fractional coordinates):
1 Th 0.000 0.000 0.000
2 Ga 0.500 0.500 0.000
3 Pb 0.000 0.500 0.500
4 Pb 0.500 0.000 0.500

The structure with the most favorable energy is b; the runner-up is 0.486 eV/atom above it.

a | Here is a relaxed structure of TiGa2Pb2 from Alexandria via LeMat-Bulk. Energies are from GGA-PBE.

## Properties
space group: P4/mbm, No. 127

abc: 7.214 7.214 4.401
angles: 90.00 90.00 90.00
Atoms (fractional coordinates):
1 Ti 0.000 0.000 0.000
2 Ti 0.500 0.500 0.000
3 Ga 0.133 0.367 0.000
4 Ga 0.367 0.867 0.000
5 Ga 0.633 0.133 0.000
6 Ga 0.867 0.633 0.000
7 Pb 0.176 0.676 0.500
8 Pb 0.324 0.176 0.500
9 Pb 0.676 0.824 0.500
10 Pb 0.824 0.324 0.500

b | Here is a relaxed structure of TiGa2Pb2 from Alexandria via LeMat-Bulk. Energies are from GGA-PBE.

## Properties
space group: I4/mmm, No. 139

abc: 4.249 4.249 14.153
angles: 90.00 90.00 90.00
Atoms (fractional coordinates):
1 Ti 0.000 0.000 0.000
2 Ti 0.500 0.500 0.500
3 Ga 0.000 0.000 0.415
4 Ga 0.000 0.000 0.585
5 Ga 0.500 0.500 0.085
6 Ga 0.500 0.500 0.915
7 Pb 0.000 0.500 0.250
8 Pb 0.000 0.500 0.750
9 Pb 0.500 0.000 0.250
10 Pb 0.500 0.000 0.750

The structure with the most favorable energy is a; the runner-up is 0.325 eV/atom above it.